1:
Ti2C2I: relaxed, PBE-GGA.

a = 3.8164 Å, b = 3.8164 Å, c = 12.7447 Å
α = 90.00°, β = 90.00°, γ = 90.00°
Space group I4/mmm (No. 139)
Unique sites:
Ti 0.0000 0.0000 0.1953 x4
C 0.0000 0.5000 0.2500 x4
I 0.0000 0.0000 0.5000 x2



2:
Ti2C2I: relaxed, PBE-GGA.

a = 7.1311 Å, b = 7.1311 Å, c = 3.3283 Å
α = 90.00°, β = 90.00°, γ = 90.00°
Space group P4/mbm (No. 127)
Unique sites:
Ti 0.1212 0.3788 0.0000 x4
C 0.0717 0.5717 0.5000 x4
I 0.0000 0.0000 0.0000 x2



How do the structures above rank in stability at the extremes? 1 comes first and 2 comes last.